1.
# HoMgCu | the Alexandria database | GGA-PBE | relaxed
# Crystal system: tetragonal
# Total moment: 0.0000 μB per atom
# D(E_F): 2.54 states/eV/f.u.
data_HoMgCu
_space_group_name_H-M_alt 'I 4 m m'
_space_group_IT_number 107
_space_group_name_Hall 'I 4 -2'
_cell_length_a 3.3562
_cell_length_b 3.3562
_cell_length_c 11.3850
_cell_angle_alpha 90.00
_cell_angle_beta 90.00
_cell_angle_gamma 90.00
loop_
_atom_site_label
_atom_site_type_symbol
_atom_site_fract_x
_atom_site_fract_y
_atom_site_fract_z
Ho1 Ho 0.0000 0.0000 0.0000
Mg1 Mg 0.0000 0.0000 0.7162
Cu1 Cu 0.0000 0.0000 0.3479



2.
# HoMg3Cu | the Alexandria database | GGA-PBE | relaxed
# Crystal system: cubic
# Total moment: 0.0000 μB per atom
# D(E_F): 3.24 states/eV/f.u.
# ΔE to the lowest computed polymorph: 186.8 meV per atom
data_HoMg3Cu
_space_group_name_H-M_alt 'P m -3 m'
_space_group_IT_number 221
_space_group_name_Hall '-P 4 2 3'
_cell_length_a 4.8812
_cell_length_b 4.8812
_cell_length_c 4.8812
_cell_angle_alpha 90.00
_cell_angle_beta 90.00
_cell_angle_gamma 90.00
loop_
_atom_site_label
_atom_site_type_symbol
_atom_site_fract_x
_atom_site_fract_y
_atom_site_fract_z
Ho1 Ho 0.0000 0.0000 0.0000
Mg1 Mg 0.0000 0.5000 0.5000
Cu1 Cu 0.5000 0.5000 0.5000



| no. | formation enthalpy at 0 K (meV/atom) |
| --- | --- |
| 1 | -107 |
| 2 | 72 |